[1]
Below is a relaxed structure of LaPmPrO, with properties calculated at the PBE-GGA level.

Values from the calculation:
Formation energy (no corrections)   -1.0196 eV/atom

The structure in CIF format:
```
data_LaPmPrO
_cell_length_a 4.181
_cell_length_b 4.181
_cell_length_c 14.657
_cell_angle_alpha 90.00
_cell_angle_beta 90.00
_cell_angle_gamma 90.00
_symmetry_space_group_name_H-M 'P 4/n m m'
_symmetry_Int_Tables_number 129
loop_
_symmetry_equiv_pos_as_xyz
'x,y,z'
'-x,-y,-z'
'-y+1/2,x,z'
'y+1/2,-x,-z'
'-x+1/2,-y+1/2,z'
'x+1/2,y+1/2,-z'
'y,-x+1/2,z'
'-y,x+1/2,-z'
'x+1/2,-y,-z'
'-x+1/2,y,z'
'-y,-x,-z'
'y,x,z'
'-x,y+1/2,-z'
'x,-y+1/2,z'
'y+1/2,x+1/2,-z'
'-y+1/2,-x+1/2,z'
loop_
_atom_site_label
_atom_site_type_symbol
_atom_site_fract_x
_atom_site_fract_y
_atom_site_fract_z
La1 La 0.250 0.750 0.000
Pm1 Pm 0.250 0.250 0.428
Pr1 Pr 0.250 0.250 0.781
O1 O 0.250 0.750 0.500
```


[2]
Below is a relaxed structure of K3U2S5Br2, with properties calculated at the PBE-GGA level.

Values from the calculation:
Formation energy (no corrections)   -1.4371 eV/atom

The structure in CIF format:
```
data_K3U2S5Br2
_cell_length_a 5.226
_cell_length_b 5.226
_cell_length_c 27.438
_cell_angle_alpha 90.00
_cell_angle_beta 90.00
_cell_angle_gamma 90.00
_symmetry_space_group_name_H-M 'I 4/m m m'
_symmetry_Int_Tables_number 139
_symmetry_space_group_name_Hall '-I 4 2'
loop_
_atom_site_label
_atom_site_type_symbol
_atom_site_fract_x
_atom_site_fract_y
_atom_site_fract_z
K1 K 0.000 0.000 0.000
K2 K 0.000 0.000 0.176
U1 U 0.000 0.000 0.406
S1 S 0.000 0.000 0.500
S2 S 0.000 0.500 0.097
Br1 Br 0.000 0.000 0.299
```


[3]
Below is a relaxed structure of Ce2Pu2As2P, with properties calculated at the PBE-GGA level.

Values from the calculation:
ΔE_f   -0.635 eV/atom

The structure in CIF format:
```
data_Ce2Pu2As2P
_cell_length_a 5.062
_cell_length_b 5.062
_cell_length_c 15.417
_cell_angle_alpha 90.00
_cell_angle_beta 90.00
_cell_angle_gamma 90.00
_symmetry_space_group_name_H-M 'I 4/m m m'
_symmetry_Int_Tables_number 139
_symmetry_space_group_name_Hall '-I 4 2'
loop_
_atom_site_label
_atom_site_type_symbol
_atom_site_fract_x
_atom_site_fract_y
_atom_site_fract_z
Ce1 Ce 0.000 0.000 0.178
Pu1 Pu 0.000 0.500 0.000
As1 As 0.000 0.000 0.370
P1 P 0.000 0.000 0.000
```


[4]
Below is a relaxed structure of ScZn2Ag2, with properties calculated at the PBE-GGA level.

Values from the calculation:
ΔE_f   -0.192 eV/atom
E above lowest polymorph   0.0 meV/atom

The structure in CIF format:
```
data_ScZn2Ag2
_cell_length_a 4.620
_cell_length_b 4.635
_cell_length_c 5.317
_cell_angle_alpha 65.20
_cell_angle_beta 64.77
_cell_angle_gamma 60.22
_symmetry_space_group_name_H-M 'P 1'
_symmetry_Int_Tables_number 1
loop_
_symmetry_equiv_pos_as_xyz
'x,y,z'
loop_
_atom_site_label
_atom_site_type_symbol
_atom_site_fract_x
_atom_site_fract_y
_atom_site_fract_z
Sc1 Sc 0.000 0.000 0.000
Zn1 Zn 0.212 0.212 0.370
Zn2 Zn 0.396 0.395 0.809
Ag1 Ag 0.583 0.584 0.257
Ag2 Ag 0.788 0.787 0.635
```


[5]
Below is a relaxed structure of Rb4Pa3SiN8, with properties calculated at the PBE-GGA level.

Values from the calculation:
Formation energy (no corrections)   -0.7050 eV/atom

The structure in CIF format:
```
data_Rb4Pa3SiN8
_cell_length_a 12.774
_cell_length_b 6.688
_cell_length_c 7.759
_cell_angle_alpha 90.00
_cell_angle_beta 118.64
_cell_angle_gamma 90.00
_symmetry_space_group_name_H-M 'C 1 2/m 1'
_symmetry_Int_Tables_number 12
loop_
_symmetry_equiv_pos_as_xyz
'x,y,z'
'-x,-y,-z'
'-x,y,-z'
'x,-y,z'
'x+1/2,y+1/2,z'
'-x+1/2,-y+1/2,-z'
'-x+1/2,y+1/2,-z'
'x+1/2,-y+1/2,z'
loop_
_atom_site_label
_atom_site_type_symbol
_atom_site_fract_x
_atom_site_fract_y
_atom_site_fract_z
Rb1 Rb 0.000 0.000 0.000
Rb2 Rb 0.000 0.500 0.000
Rb3 Rb 0.250 0.250 0.000
Pa1 Pa 0.000 0.000 0.500
Pa2 Pa 0.250 0.250 0.500
Si1 Si 0.000 0.500 0.500
N1 N 0.032 0.292 0.365
N2 N 0.205 0.000 0.657
N3 N 0.230 0.000 0.306
```


[6]
Below is a relaxed structure of Cs2NaZnCd, with properties calculated at the PBE-GGA level.

Values from the calculation:
ΔE_f   0.283 eV/atom
E above lowest polymorph   169.6 meV/atom

The structure in CIF format:
```
data_Cs2NaZnCd
_cell_length_a 7.441
_cell_length_b 7.441
_cell_length_c 5.599
_cell_angle_alpha 90.00
_cell_angle_beta 90.00
_cell_angle_gamma 90.00
_symmetry_space_group_name_H-M 'P 4/m m m'
_symmetry_Int_Tables_number 123
_symmetry_space_group_name_Hall '-P 4 2'
loop_
_atom_site_label
_atom_site_type_symbol
_atom_site_fract_x
_atom_site_fract_y
_atom_site_fract_z
Cs1 Cs 0.000 0.500 0.000
Na1 Na 0.000 0.000 0.000
Zn1 Zn 0.000 0.000 0.500
Cd1 Cd 0.500 0.500 0.500
```


[7]
Below is a relaxed structure of ZnIn2Ir, with properties calculated at the PBE-GGA level.

Values from the calculation:
ΔE_f   0.127 eV/atom

The structure in CIF format:
```
data_ZnIn2Ir
_cell_length_a 9.307
_cell_length_b 3.230
_cell_length_c 5.008
_cell_angle_alpha 90.00
_cell_angle_beta 100.41
_cell_angle_gamma 90.00
_symmetry_space_group_name_H-M 'C 1 2/m 1'
_symmetry_Int_Tables_number 12
loop_
_symmetry_equiv_pos_as_xyz
'x,y,z'
'-x,-y,-z'
'-x,y,-z'
'x,-y,z'
'x+1/2,y+1/2,z'
'-x+1/2,-y+1/2,-z'
'-x+1/2,y+1/2,-z'
'x+1/2,-y+1/2,z'
loop_
_atom_site_label
_atom_site_type_symbol
_atom_site_fract_x
_atom_site_fract_y
_atom_site_fract_z
Zn1 Zn 0.000 0.000 0.000
In1 In 0.242 0.000 0.741
Ir1 Ir 0.000 0.500 0.500
```


[8]
Below is a relaxed structure of Te12Se5I3, with properties calculated at the PBE-GGA level.

Values from the calculation:
Formation energy (no corrections)   0.2904 eV/atom

The structure in CIF format:
```
data_Te12Se5I3
_cell_length_a 18.678
_cell_length_b 18.678
_cell_length_c 18.678
_cell_angle_alpha 90.00
_cell_angle_beta 90.00
_cell_angle_gamma 90.00
_symmetry_space_group_name_H-M 'I a -3 d'
_symmetry_Int_Tables_number 230
_symmetry_space_group_name_Hall '-I 4bd 2c 3'
loop_
_atom_site_label
_atom_site_type_symbol
_atom_site_fract_x
_atom_site_fract_y
_atom_site_fract_z
Te1 Te 0.067 0.080 0.633
Se1 Se 0.000 0.000 0.000
Se2 Se 0.000 0.250 0.375
I1 I 0.000 0.250 0.125
```


[9]
Below is a relaxed structure of Ho2Ga2Cu15, with properties calculated at the PBE-GGA level.

Values from the calculation:
ΔE_f   -0.160 eV/atom

The structure in CIF format:
```
data_Ho2Ga2Cu15
_cell_length_a 8.5821
_cell_length_b 8.5821
_cell_length_c 12.6231
_cell_angle_alpha 90.00
_cell_angle_beta 90.00
_cell_angle_gamma 120.00
_symmetry_space_group_name_H-M 'R -3 m'
_symmetry_Int_Tables_number 166
_symmetry_space_group_name_Hall '-R 3 2"'
loop_
_atom_site_label
_atom_site_type_symbol
_atom_site_fract_x
_atom_site_fract_y
_atom_site_fract_z
Ho1 Ho 0.0000 0.0000 0.1512
Ga1 Ga 0.0000 0.0000 0.3962
Cu1 Cu 0.0000 0.3023 0.5000
Cu2 Cu 0.0000 0.5000 0.0000
Cu3 Cu 0.0031 0.5015 0.6528
```


[10]
Below is a relaxed structure of Er2TmGa6, with properties calculated at the PBE-GGA level.

Values from the calculation:
ΔE_f   -0.603 eV/atom
E above lowest polymorph   0.0 meV/atom

The structure in CIF format:
```
data_Er2TmGa6
_cell_length_a 7.4464
_cell_length_b 7.4464
_cell_length_c 3.7565
_cell_angle_alpha 90.00
_cell_angle_beta 90.00
_cell_angle_gamma 120.00
_symmetry_space_group_name_H-M 'P 6/m m m'
_symmetry_Int_Tables_number 191
_symmetry_space_group_name_Hall '-P 6 2'
loop_
_atom_site_label
_atom_site_type_symbol
_atom_site_fract_x
_atom_site_fract_y
_atom_site_fract_z
Er1 Er 0.3333 0.6667 0.0000
Tm1 Tm 0.0000 0.0000 0.0000
Ga1 Ga 0.0000 0.3331 0.5000
```


[11]
Below is a relaxed structure of SrRuN2O, with properties calculated at the PBE-GGA level.

Values from the calculation:
Formation energy (no corrections)   -0.5064 eV/atom

The structure in CIF format:
```
data_SrRuN2O
_cell_length_a 3.823
_cell_length_b 3.823
_cell_length_c 4.377
_cell_angle_alpha 90.00
_cell_angle_beta 90.00
_cell_angle_gamma 90.00
_symmetry_space_group_name_H-M 'P 4/m m m'
_symmetry_Int_Tables_number 123
_symmetry_space_group_name_Hall '-P 4 2'
loop_
_atom_site_label
_atom_site_type_symbol
_atom_site_fract_x
_atom_site_fract_y
_atom_site_fract_z
Sr1 Sr 0.000 0.000 0.000
Ru1 Ru 0.500 0.500 0.500
N1 N 0.000 0.500 0.500
O1 O 0.500 0.500 0.000
```


[12]
Below is a relaxed structure of Al2AsCl, with properties calculated at the PBE-GGA level.

Values from the calculation:
Formation energy (no corrections)   -0.0517 eV/atom
E above lowest polymorph   271.4 meV/atom

The structure in CIF format:
```
data_Al2AsCl
_cell_length_a 6.926
_cell_length_b 6.926
_cell_length_c 7.546
_cell_angle_alpha 90.00
_cell_angle_beta 90.00
_cell_angle_gamma 90.00
_symmetry_space_group_name_H-M 'I -4 2 d'
_symmetry_Int_Tables_number 122
_symmetry_space_group_name_Hall 'I -4 2bw'
loop_
_atom_site_label
_atom_site_type_symbol
_atom_site_fract_x
_atom_site_fract_y
_atom_site_fract_z
Al1 Al 0.227 0.250 0.125
As1 As 0.000 0.000 0.000
Cl1 Cl 0.000 0.000 0.500
```


[13]
Below is a relaxed structure of AcTl2Si2O6, with properties calculated at the PBE-GGA level.

Values from the calculation:
Formation energy (no corrections)   -2.2466 eV/atom

The structure in CIF format:
```
data_AcTl2Si2O6
_cell_length_a 10.957
_cell_length_b 6.387
_cell_length_c 7.572
_cell_angle_alpha 90.00
_cell_angle_beta 133.62
_cell_angle_gamma 90.00
_symmetry_space_group_name_H-M 'C 1 2/m 1'
_symmetry_Int_Tables_number 12
loop_
_symmetry_equiv_pos_as_xyz
'x,y,z'
'-x,-y,-z'
'-x,y,-z'
'x,-y,z'
'x+1/2,y+1/2,z'
'-x+1/2,-y+1/2,-z'
'-x+1/2,y+1/2,-z'
'x+1/2,-y+1/2,z'
loop_
_atom_site_label
_atom_site_type_symbol
_atom_site_fract_x
_atom_site_fract_y
_atom_site_fract_z
Ac1 Ac 0.000 0.000 0.000
Tl1 Tl 0.206 0.000 0.707
Si1 Si 0.000 0.500 0.333
O1 O 0.001 0.284 0.223
O2 O 0.151 0.500 0.651
```


[14]
Below is a relaxed structure of TmCd2In3, with properties calculated at the PBE-GGA level.

Values from the calculation:
ΔE_f   -0.194 eV/atom

The structure in CIF format:
```
data_TmCd2In3
_cell_length_a 4.603
_cell_length_b 13.847
_cell_length_c 4.541
_cell_angle_alpha 90.00
_cell_angle_beta 90.00
_cell_angle_gamma 90.00
_symmetry_space_group_name_H-M 'C m m m'
_symmetry_Int_Tables_number 65
_symmetry_space_group_name_Hall '-C 2 2'
loop_
_atom_site_label
_atom_site_type_symbol
_atom_site_fract_x
_atom_site_fract_y
_atom_site_fract_z
Tm1 Tm 0.000 0.000 0.000
Cd1 Cd 0.000 0.330 0.000
In1 In 0.000 0.169 0.500
In2 In 0.000 0.500 0.500
```


[15]
Below is a relaxed structure of TiCu3Sn, with properties calculated at the PBE-GGA level.

Values from the calculation:
ΔE_f   0.901 eV/atom
E above lowest polymorph   0.0 meV/atom

The structure in CIF format:
```
data_TiCu3Sn
_cell_length_a 4.732
_cell_length_b 4.732
_cell_length_c 4.732
_cell_angle_alpha 90.00
_cell_angle_beta 90.00
_cell_angle_gamma 90.00
_symmetry_space_group_name_H-M 'P m -3 m'
_symmetry_Int_Tables_number 221
_symmetry_space_group_name_Hall '-P 4 2 3'
loop_
_atom_site_label
_atom_site_type_symbol
_atom_site_fract_x
_atom_site_fract_y
_atom_site_fract_z
Ti1 Ti 0.000 0.000 0.000
Cu1 Cu 0.000 0.500 0.500
Sn1 Sn 0.500 0.500 0.500
```


[16]
Below is a relaxed structure of Sr2Ga9Pt3, with properties calculated at the PBE-GGA level.

Values from the calculation:
ΔE_f   -0.627 eV/atom

The structure in CIF format:
```
data_Sr2Ga9Pt3
_cell_length_a 13.541
_cell_length_b 7.784
_cell_length_c 10.749
_cell_angle_alpha 90.00
_cell_angle_beta 114.93
_cell_angle_gamma 90.00
_symmetry_space_group_name_H-M 'C 1 2/c 1'
_symmetry_Int_Tables_number 15
loop_
_symmetry_equiv_pos_as_xyz
'x,y,z'
'-x,-y,-z'
'-x,y,-z+1/2'
'x,-y,z+1/2'
'x+1/2,y+1/2,z'
'-x+1/2,-y+1/2,-z'
'-x+1/2,y+1/2,-z+1/2'
'x+1/2,-y+1/2,z+1/2'
loop_
_atom_site_label
_atom_site_type_symbol
_atom_site_fract_x
_atom_site_fract_y
_atom_site_fract_z
Sr1 Sr 0.168 0.084 0.250
Ga1 Ga 0.000 0.379 0.250
Ga2 Ga 0.058 0.084 0.923
Ga3 Ga 0.102 0.317 0.749
Ga4 Ga 0.105 0.416 0.063
Ga5 Ga 0.223 0.417 0.422
Pt1 Pt 0.084 0.248 0.500
Pt2 Pt 0.250 0.250 0.000
```


[17]
Below is a relaxed structure of KCaAg4, with properties calculated at the PBE-GGA level.

Values from the calculation:
ΔE_f   -0.081 eV/atom

The structure in CIF format:
```
data_KCaAg4
_cell_length_a 8.293
_cell_length_b 8.293
_cell_length_c 8.293
_cell_angle_alpha 90.00
_cell_angle_beta 90.00
_cell_angle_gamma 90.00
_symmetry_space_group_name_H-M 'F -4 3 m'
_symmetry_Int_Tables_number 216
_symmetry_space_group_name_Hall 'F -4 2 3'
loop_
_atom_site_label
_atom_site_type_symbol
_atom_site_fract_x
_atom_site_fract_y
_atom_site_fract_z
K1 K 0.000 0.000 0.000
Ca1 Ca 0.250 0.250 0.750
Ag1 Ag 0.125 0.125 0.375
```


[18]
Below is a relaxed structure of Zr4Sc3Al, with properties calculated at the PBE-GGA level.

Values from the calculation:
ΔE_f   -0.099 eV/atom

The structure in CIF format:
```
data_Zr4Sc3Al
_cell_length_a 3.357
_cell_length_b 5.022
_cell_length_c 21.607
_cell_angle_alpha 90.00
_cell_angle_beta 90.00
_cell_angle_gamma 90.00
_symmetry_space_group_name_H-M 'I m m m'
_symmetry_Int_Tables_number 71
_symmetry_space_group_name_Hall '-I 2 2'
loop_
_atom_site_label
_atom_site_type_symbol
_atom_site_fract_x
_atom_site_fract_y
_atom_site_fract_z
Zr1 Zr 0.000 0.000 0.107
Zr2 Zr 0.000 0.500 0.267
Sc1 Sc 0.000 0.000 0.362
Sc2 Sc 0.000 0.500 0.000
Al1 Al 0.000 0.500 0.500
```


[19]
Below is a relaxed structure of Mg2CdAs, with properties calculated at the PBE-GGA level.

Values from the calculation:
ΔE_f   -0.137 eV/atom
E above lowest polymorph   93.8 meV/atom

The structure in CIF format:
```
data_Mg2CdAs
_cell_length_a 6.984
_cell_length_b 6.984
_cell_length_c 6.984
_cell_angle_alpha 90.00
_cell_angle_beta 90.00
_cell_angle_gamma 90.00
_symmetry_space_group_name_H-M 'F m -3 m'
_symmetry_Int_Tables_number 225
_symmetry_space_group_name_Hall '-F 4 2 3'
loop_
_atom_site_label
_atom_site_type_symbol
_atom_site_fract_x
_atom_site_fract_y
_atom_site_fract_z
Mg1 Mg 0.250 0.250 0.250
Cd1 Cd 0.000 0.000 0.000
As1 As 0.000 0.000 0.500
```


[20]
Below is a relaxed structure of Hg2PPt2, with properties calculated at the PBE-GGA level.

Values from the calculation:
ΔE_f   0.092 eV/atom

The structure in CIF format:
```
data_Hg2PPt2
_cell_length_a 6.470
_cell_length_b 6.470
_cell_length_c 4.499
_cell_angle_alpha 90.00
_cell_angle_beta 90.00
_cell_angle_gamma 90.00
_symmetry_space_group_name_H-M 'P 4/m b m'
_symmetry_Int_Tables_number 127
_symmetry_space_group_name_Hall '-P 4 2ab'
loop_
_atom_site_label
_atom_site_type_symbol
_atom_site_fract_x
_atom_site_fract_y
_atom_site_fract_z
Hg1 Hg 0.155 0.345 0.000
P1 P 0.000 0.000 0.500
Pt1 Pt 0.165 0.665 0.500
```